[1]
Entry from the Alexandria database: a geometry-optimized Pr6NdY3 structure (PBE).

Output
As for the space group: No. 36. Its total magnetization is 0.000 μB per cell. The formation energy is 0.13 eV per atom. The total DFT energy (no corrections) comes out at -51.532 eV per formula unit.

```
Pr6NdY3
1.0
-5.018 -2.538 -2.977
-3.833 -3.992 9.862
-3.060 10.274 -3.601
Nd Pr Y
2 12 6
direct
0.609 0.803 0.197 Nd
0.109 0.197 0.803 Nd
0.542 0.627 0.709 Pr
0.874 0.473 0.054 Pr
0.042 0.373 0.291 Pr
0.394 0.961 0.039 Pr
0.042 0.709 0.627 Pr
0.542 0.291 0.373 Pr
0.874 0.946 0.527 Pr
0.374 0.527 0.946 Pr
0.894 0.039 0.961 Pr
0.142 0.719 0.281 Pr
0.374 0.054 0.473 Pr
0.642 0.281 0.719 Pr
0.463 0.943 0.714 Y
0.963 0.714 0.943 Y
0.582 0.616 0.384 Y
0.963 0.057 0.286 Y
0.082 0.384 0.616 Y
0.463 0.286 0.057 Y
```

[2]
Entry from the Alexandria database: a geometry-optimized Fe2Te structure (PBE).

Output
As for the space group: No. 194. Its total magnetization is 8.022 μB per cell. The total DFT energy (no corrections) comes out at -18.849 eV per formula unit. For the raw formation energy, the calculation gives 1.22 eV/f.u.

```
Fe2Te
1.0
-0.082 1.472 -4.175
-1.120 -4.190 0.893
-5.030 1.477 0.619
Fe Te
4 2
direct
0.000 0.000 0.000 Fe
0.333 0.667 0.250 Fe
0.667 0.333 0.750 Fe
0.000 0.000 0.500 Fe
0.333 0.667 0.750 Te
0.667 0.333 0.250 Te
```

[3]
Entry from the Alexandria database: a geometry-optimized Ho3P4Pd4 structure (PBE).

Output
As for the space group: No. 71. Its total magnetization is 0.000 μB per cell. The formation energy is -1.10 eV per atom. The total DFT energy (no corrections) comes out at -68.190 eV per formula unit.

```
Ho3P4Pd4
1.0
-0.179 -2.417 -3.238
5.632 -3.425 2.245
-6.685 -1.354 3.905
Pd Ho P
4 3 4
direct
0.330 0.131 0.661 Pd
0.670 0.470 0.339 Pd
0.670 0.869 0.339 Pd
0.330 0.530 0.661 Pd
0.126 0.126 0.253 Ho
0.874 0.874 0.747 Ho
0.000 0.500 0.000 Ho
0.217 0.717 0.434 P
0.500 0.189 0.000 P
0.500 0.811 0.000 P
0.783 0.283 0.566 P
```

[4]
Entry from the Alexandria database: a geometry-optimized Ti8InCo3NiSn3 structure (PBE).

Output
As for the space group: No. 160. Its total magnetization is 4.120 μB per cell. The formation energy is -0.17 eV per atom. The total DFT energy (no corrections) comes out at -107.744 eV per formula unit.

```
Ti8InCo3NiSn3
1.0
15.439 0.077 0.045
14.759 4.533 0.045
14.759 2.253 3.933
Co Ti In Ni Sn
3 8 1 1 3
direct
0.825 0.825 0.825 Co
0.051 0.051 0.051 Co
0.562 0.562 0.562 Co
0.624 0.624 0.624 Ti
0.998 0.998 0.998 Ti
0.876 0.876 0.876 Ti
0.375 0.375 0.375 Ti
0.249 0.249 0.249 Ti
0.125 0.125 0.125 Ti
0.749 0.749 0.749 Ti
0.498 0.498 0.498 Ti
0.687 0.687 0.687 In
0.321 0.321 0.321 Ni
0.937 0.937 0.937 Sn
0.437 0.437 0.437 Sn
0.187 0.187 0.187 Sn
```

[5]
Entry from the Alexandria database: a geometry-optimized CuSNO structure (PBE).

Output
As for the space group: No. 129. Its total magnetization is 0.000 μB per cell. The total DFT energy (no corrections) comes out at -16.821 eV per formula unit. For the raw formation energy, the calculation gives 4.69 eV/f.u.

```
CuSNO
1.0
3.483 0.000 0.000
0.000 3.483 0.000
0.000 0.000 9.649
S Cu N O
2 2 2 2
direct
0.000 0.500 0.656 S
0.500 0.000 0.344 S
0.000 0.000 0.500 Cu
0.500 0.500 0.500 Cu
0.000 0.500 0.048 N
0.500 0.000 0.952 N
0.500 0.500 0.000 O
0.000 0.000 0.000 O
```

[6]
Entry from the Alexandria database: a geometry-optimized PmH4IrPd2 structure (PBE).

Output
As for the space group: No. 1. Its total magnetization is 0.000 μB per cell. The total DFT energy (no corrections) comes out at -40.327 eV per formula unit.

```
PmH4IrPd2
1.0
5.325 0.658 -0.007
0.661 5.300 -0.003
-2.994 -2.978 3.119
H Pd Pm Ir
4 2 1 1
direct
0.547 0.624 0.573 H
0.026 0.948 0.572 H
0.461 0.947 0.316 H
0.848 0.364 0.305 H
0.252 0.254 0.505 Pd
0.498 0.997 0.996 Pd
0.999 0.499 0.997 Pm
0.756 0.754 0.510 Ir
```

[7]
Entry from the Alexandria database: a geometry-optimized VAgPdAu structure (PBE).

Output
As for the space group: No. 216. Its total magnetization is 2.303 μB per cell. The formation energy is 0.07 eV per atom. The total DFT energy (no corrections) comes out at -20.162 eV per formula unit.

```
VAgPdAu
1.0
4.547 0.000 0.000
2.273 3.937 0.000
2.273 1.312 3.712
V Ag Au Pd
1 1 1 1
direct
0.750 0.750 0.750 V
0.250 0.250 0.250 Ag
0.000 0.000 0.000 Au
0.500 0.500 0.500 Pd
```

[8]
Entry from the Alexandria database: a geometry-optimized Rb3Rh2Cl9 structure (PBE).

Output
As for the space group: No. 167. Its total magnetization is 0.000 μB per cell. The total DFT energy (no corrections) comes out at -51.236 eV per formula unit. For the raw formation energy, the calculation gives -17.01 eV/f.u.

```
Rb3Rh2Cl9
1.0
9.474 0.561 1.459
1.334 9.396 1.459
0.609 0.561 9.566
Rb Cl Rh
6 18 4
direct
0.908 0.592 0.250 Rb
0.408 0.750 0.092 Rb
0.250 0.908 0.592 Rb
0.092 0.408 0.750 Rb
0.592 0.250 0.908 Rb
0.750 0.092 0.408 Rb
0.893 0.055 0.730 Cl
0.107 0.945 0.270 Cl
0.730 0.893 0.055 Cl
0.770 0.445 0.607 Cl
0.596 0.904 0.750 Cl
0.750 0.596 0.904 Cl
0.607 0.770 0.445 Cl
0.404 0.096 0.250 Cl
0.393 0.230 0.555 Cl
0.096 0.250 0.404 Cl
0.250 0.404 0.096 Cl
0.904 0.750 0.596 Cl
0.230 0.555 0.393 Cl
0.445 0.607 0.770 Cl
0.555 0.393 0.230 Cl
0.945 0.270 0.107 Cl
0.270 0.107 0.945 Cl
0.055 0.730 0.893 Cl
0.172 0.172 0.172 Rh
0.672 0.672 0.672 Rh
0.828 0.828 0.828 Rh
0.328 0.328 0.328 Rh
```

[9]
Entry from the Alexandria database: a geometry-optimized Dy3PtN structure (PBE).

Output
As for the space group: No. 221. Its total magnetization is 0.000 μB per cell. The total DFT energy (no corrections) comes out at -33.464 eV per formula unit. For the raw formation energy, the calculation gives -5.29 eV/f.u.

```
Dy3PtN
1.0
-4.294 -1.563 1.118
-0.999 -0.521 -4.567
1.641 -4.406 0.143
Dy N Pt
3 1 1
direct
0.000 0.500 0.000 Dy
0.500 0.000 0.000 Dy
0.000 0.000 0.500 Dy
0.000 0.000 0.000 N
0.500 0.500 0.500 Pt
```

[10]
Entry from the Alexandria database: a geometry-optimized RbTaAgS4 structure (PBE).

Output
As for the space group: No. 11. Its total magnetization is 0.000 μB per cell. The total DFT energy (no corrections) comes out at -37.216 eV per formula unit. For the raw formation energy, the calculation gives -5.03 eV/f.u.

```
RbTaAgS4
1.0
6.020 0.000 -0.129
0.000 7.527 0.000
-2.506 0.000 9.424
S Ta Rb Ag
8 2 2 2
direct
0.272 0.750 0.069 S
0.914 0.999 0.262 S
0.086 0.499 0.738 S
0.728 0.250 0.931 S
0.440 0.750 0.468 S
0.560 0.250 0.532 S
0.086 0.001 0.738 S
0.914 0.501 0.262 S
0.134 0.750 0.266 Ta
0.866 0.250 0.734 Ta
0.360 0.250 0.157 Rb
0.640 0.750 0.843 Rb
0.641 0.750 0.277 Ag
0.359 0.250 0.723 Ag
```

[11]
Entry from the Alexandria database: a geometry-optimized Pr2DyTl3 structure (PBE).

Output
As for the space group: No. 63. Its total magnetization is 0.001 μB per cell. The formation energy is -0.24 eV per atom. The total DFT energy (no corrections) comes out at -22.684 eV per formula unit.

```
Pr2DyTl3
1.0
-1.970 2.830 -1.591
-0.219 -3.446 -5.857
-11.535 -7.767 5.002
Tl Dy Pr
6 2 4
direct
0.253 0.250 0.506 Tl
0.422 0.489 0.844 Tl
0.422 0.011 0.844 Tl
0.578 0.989 0.156 Tl
0.578 0.511 0.156 Tl
0.747 0.750 0.494 Tl
0.333 0.750 0.665 Dy
0.667 0.250 0.335 Dy
0.155 0.750 0.310 Pr
0.006 0.250 0.012 Pr
0.994 0.750 0.988 Pr
0.845 0.250 0.690 Pr
```

[12]
Entry from the Alexandria database: a geometry-optimized TlCo2Pt structure (PBE).

Output
As for the space group: No. 10. Its total magnetization is 3.505 μB per cell. The formation energy is 0.32 eV per atom. The total DFT energy (no corrections) comes out at -21.347 eV per formula unit.

```
TlCo2Pt
1.0
-0.327 -1.429 3.405
-1.471 -2.175 -1.054
3.542 -5.171 -1.830
Co Tl Pt
2 1 1
direct
0.000 0.540 0.460 Co
0.000 0.960 0.040 Co
0.500 0.750 0.750 Tl
0.500 0.250 0.250 Pt
```